(1)
The following is a DFT calculation (PBE) of a relaxed structure of BeNb2Ir.

Calculated values
Space group: R-3m (166)
ΔH_f (0 K) (meV per atom): 426
Energy (eV for the cell shown): -93.074
Magnetization (μB/f.u.): 0.00
V (A^3/atom): 16.578
ρ (g cm⁻³): 9.69

a = 2.7801 Å, b = 2.7801 Å, c = 29.7224 Å
α = 90.00°, β = 90.00°, γ = 120.00°
Closest atoms and distances in Å follow each position.
Element x y z (fractional)
Be (0.0000, 0.0000, 0.0000)  2 Nb 2.61, 6 Be 2.78
Be (0.3333, 0.6667, 0.6667)  2 Nb 2.61, 6 Be 2.78
Be (0.6667, 0.3333, 0.3333)  2 Nb 2.61, 6 Be 2.78
Nb (0.0000, 0.0000, 0.0877)  1 Be 2.61, 6 Nb 2.78, 3 Ir 2.84
Nb (0.0000, 0.0000, 0.9123)  1 Be 2.61, 6 Nb 2.78, 3 Ir 2.84
Nb (0.3333, 0.6667, 0.5790)  1 Be 2.61, 6 Nb 2.78, 3 Ir 2.84
Nb (0.3333, 0.6667, 0.7544)  1 Be 2.61, 6 Nb 2.78, 3 Ir 2.84
Nb (0.6667, 0.3333, 0.2456)  1 Be 2.61, 6 Nb 2.78, 3 Ir 2.84
Nb (0.6667, 0.3333, 0.4210)  1 Be 2.61, 6 Nb 2.78, 3 Ir 2.84
Ir (0.0000, 0.0000, 0.5000)  6 Ir 2.78, 6 Nb 2.84
Ir (0.3333, 0.6667, 0.1667)  6 Ir 2.78, 6 Nb 2.84
Ir (0.6667, 0.3333, 0.8333)  6 Ir 2.78, 6 Nb 2.84


(2)
The following is a DFT calculation (PBE) of a relaxed structure of Be8Nb3Ir.

Calculated values
Space group: R3m (160)
ΔH_f (0 K) (meV per atom): -347
Energy (eV for the cell shown): -73.041
Magnetization (μB/f.u.): 0.00
V (A^3/atom): 11.076
ρ (g cm⁻³): 6.78
Distance to the lowest polymorph of the same formula (meV per atom): 12

a = 7.8926 Å, b = 7.8926 Å, c = 7.8926 Å
α = 33.43°, β = 33.43°, γ = 33.43°
Closest atoms and distances in Å follow each position.
Element x y z (fractional)
Be (0.0000, 0.0000, 0.0000)  6 Be 2.25-2.26
Be (0.2470, 0.7530, 0.7530)  6 Be 2.24-2.32
Be (0.2494, 0.2494, 0.7478)  6 Be 2.26-2.28
Be (0.2494, 0.7478, 0.2494)  6 Be 2.26-2.28
Be (0.4991, 0.4991, 0.4991)  6 Be 2.28-2.32
Be (0.7478, 0.2494, 0.2494)  6 Be 2.26-2.28
Be (0.7530, 0.2470, 0.7530)  6 Be 2.24-2.32
Be (0.7530, 0.7530, 0.2470)  6 Be 2.24-2.32
Nb (0.1883, 0.1883, 0.1883)  12 Be 2.67-2.71, 4 Nb 2.81-2.82
Nb (0.3144, 0.3144, 0.3144)  12 Be 2.61-2.68, 3 Ir 2.77, 1 Nb 2.82
Nb (0.8098, 0.8098, 0.8098)  12 Be 2.65-2.73, 1 Ir 2.72, 3 Nb 2.81
Ir (0.6879, 0.6879, 0.6879)  12 Be 2.65-2.67, 4 Nb 2.72-2.77


What is the formula in the second record?
Be8Nb3Ir